1.
Computed, not measured: a relaxed structure of LaSmHoTh at the PBE-GGA level of DFT.

abc: 3.616 3.616 10.259
angles: 90.00 90.00 90.00
Sites, in units of the cell vectors:
La 0.000 0.000 0.000
Sm 0.500 0.500 0.732
Ho 0.500 0.500 0.260
Th 0.000 0.000 0.493

Summary:
Electronic total energy (eV/atom): -5.39
Crystal system: tetragonal
ΔH_f (0 K) (meV/atom): 23.6
Distance to the lowest polymorph of the same formula (eV per formula unit): 0.000



2.
Computed, not measured: a relaxed structure of LaSmHo3Th at the PBE-GGA level of DFT.

abc: 8.018 5.082 10.212
angles: 90.00 108.98 90.00
Sites, in units of the cell vectors:
La 0.169 0.250 0.291
La 0.831 0.750 0.709
Sm 0.499 0.250 0.630
Sm 0.501 0.750 0.370
Ho 0.169 0.750 0.546
Ho 0.175 0.750 0.041
Ho 0.177 0.250 0.795
Ho 0.823 0.750 0.205
Ho 0.825 0.250 0.959
Ho 0.831 0.250 0.454
Th 0.499 0.750 0.879
Th 0.501 0.250 0.121

Summary:
Electronic total energy (eV/atom): -5.10
Crystal system: monoclinic
ΔH_f (0 K) (meV/atom): 35.9



3.
Computed, not measured: a relaxed structure of LaSm5Ho2Th at the PBE-GGA level of DFT.

abc: 10.490 10.490 10.585
angles: 90.00 90.00 148.47
Sites, in units of the cell vectors:
La 0.086 0.914 0.500
La 0.914 0.086 0.000
Sm 0.022 0.978 0.793
Sm 0.114 0.886 0.081
Sm 0.207 0.793 0.759
Sm 0.223 0.777 0.371
Sm 0.484 0.516 0.079
Sm 0.516 0.484 0.579
Sm 0.777 0.223 0.871
Sm 0.793 0.207 0.259
Sm 0.886 0.114 0.581
Sm 0.978 0.022 0.293
Ho 0.385 0.615 0.373
Ho 0.387 0.613 0.789
Ho 0.613 0.387 0.289
Ho 0.615 0.385 0.873
Th 0.300 0.700 0.068
Th 0.700 0.300 0.568

Summary:
Electronic total energy (eV/atom): -4.85
Crystal system: orthorhombic
ΔH_f (0 K) (meV/atom): 163.2



4.
Computed, not measured: a relaxed structure of La2Sm5HoTh at the PBE-GGA level of DFT.

abc: 10.644 10.644 10.663
angles: 90.00 90.00 148.81
Sites, in units of the cell vectors:
La 0.116 0.884 0.500
La 0.117 0.883 0.087
La 0.883 0.117 0.587
La 0.884 0.116 0.000
Sm 0.016 0.984 0.789
Sm 0.276 0.724 0.082
Sm 0.296 0.704 0.473
Sm 0.388 0.612 0.793
Sm 0.481 0.519 0.511
Sm 0.519 0.481 0.011
Sm 0.612 0.388 0.293
Sm 0.704 0.296 0.973
Sm 0.724 0.276 0.582
Sm 0.984 0.016 0.289
Ho 0.407 0.593 0.227
Ho 0.593 0.407 0.727
Th 0.199 0.801 0.780
Th 0.801 0.199 0.280

Summary:
Electronic total energy (eV/atom): -4.90
Crystal system: orthorhombic
ΔH_f (0 K) (meV/atom): 145.8



5.
Computed, not measured: a relaxed structure of La4Sm2HoTh at the PBE-GGA level of DFT.

abc: 6.121 6.121 7.422
angles: 90.00 90.00 90.00
Sites, in units of the cell vectors:
La 0.000 0.500 0.234
La 0.000 0.500 0.766
La 0.500 0.000 0.234
La 0.500 0.000 0.766
Sm 0.000 0.000 0.500
Sm 0.500 0.500 0.500
Ho 0.000 0.000 0.000
Th 0.500 0.500 0.000

Summary:
Electronic total energy (eV/atom): -5.02
Crystal system: tetragonal
ΔH_f (0 K) (meV/atom): 123.8



6.
Computed, not measured: a relaxed structure of La2Sm6Ho3Tl at the PBE-GGA level of DFT.

abc: 6.188 6.188 11.922
angles: 94.98 94.98 120.04
Sites, in units of the cell vectors:
La 0.166 0.834 0.000
La 0.834 0.166 0.000
Sm 0.090 0.416 0.747
Sm 0.258 0.258 0.254
Sm 0.416 0.090 0.747
Sm 0.584 0.910 0.253
Sm 0.742 0.742 0.746
Sm 0.910 0.584 0.253
Ho 0.000 0.000 0.500
Ho 0.333 0.667 0.500
Ho 0.667 0.333 0.500
Tl 0.500 0.500 0.000

Summary:
Electronic total energy (eV/atom): -4.56
Crystal system: monoclinic
ΔH_f (0 K) (meV/atom): -38.0



7.
Computed, not measured: a relaxed structure of La2Sm7HoTl2 at the PBE-GGA level of DFT.

abc: 6.137 6.137 11.373
angles: 90.04 90.04 69.30
Sites, in units of the cell vectors:
La 0.000 0.000 0.146
La 0.000 0.000 0.854
Sm 0.000 0.000 0.500
Sm 0.000 0.500 0.334
Sm 0.000 0.500 0.666
Sm 0.319 0.319 0.000
Sm 0.500 0.000 0.334
Sm 0.500 0.000 0.666
Sm 0.681 0.681 0.000
Ho 0.500 0.500 0.500
Tl 0.500 0.500 0.229
Tl 0.500 0.500 0.771

Summary:
Electronic total energy (eV/atom): -4.38
Crystal system: monoclinic
ΔH_f (0 K) (meV/atom): -34.5



8.
Computed, not measured: a relaxed structure of LaSmHo2Tl2 at the PBE-GGA level of DFT.

abc: 5.168 10.237 6.841
angles: 90.00 90.00 90.00
Sites, in units of the cell vectors:
La 0.000 0.044 0.000
La 0.000 0.956 0.500
Sm 0.500 0.194 0.735
Sm 0.500 0.806 0.235
Ho 0.000 0.319 0.384
Ho 0.000 0.681 0.884
Ho 0.500 0.458 0.103
Ho 0.500 0.542 0.603
Tl 0.000 0.374 0.848
Tl 0.000 0.626 0.348
Tl 0.500 0.146 0.267
Tl 0.500 0.854 0.767

Summary:
Electronic total energy (eV/atom): -4.19
Crystal system: orthorhombic
ΔH_f (0 K) (meV/atom): -269.0